Below is a relaxed structure of GaBPd3, with properties calculated at the PBE level.

## Properties
Its energy above the most stable polymorph in this dataset is 0.0 kJ per mole of atoms. The density of states at the Fermi level is 0.452 states/eV/atom. As for the formation energy: -222 meV/atom.

a b c (Å): 4.171 4.171 4.171
angles (deg): 90.00 90.00 90.00
Element x y z (fractional)
B 0.000 0.000 0.000
Ga 0.500 0.500 0.500
Pd 0.000 0.500 0.000
Pd 0.000 0.000 0.500
Pd 0.500 0.000 0.000